Record 1
{"formula": "Ac3Tm2Pb6", "functional": "PBE", "state": "optimized geometry", "mass_density_g_cm3": 9.078, "n_ef_per_ev_cell": 6.55, "dft_energy_ev_per_atom": -4.15, "total_magnetization_mub_per_cell": 0.00, "cell": [[-2.913, 2.913, 12.194], [2.913, -2.913, 12.194], [2.913, 2.913, -12.194]], "species": ["Ac", "Ac", "Ac", "Tm", "Tm", "Pb", "Pb", "Pb", "Pb", "Pb", "Pb"], "fractional_positions": [[0.000, 0.000, 0.000], [0.169, 0.169, 0.000], [0.831, 0.831, 0.000], [0.430, 0.430, 0.000], [0.570, 0.570, 0.000], [0.085, 0.585, 0.500], [0.307, 0.307, 0.000], [0.415, 0.915, 0.500], [0.585, 0.085, 0.500], [0.693, 0.693, 0.000], [0.915, 0.415, 0.500]]}

=====

Record 2
{"formula": "Ac3TmPb3", "functional": "PBE", "state": "optimized geometry", "mass_density_g_cm3": 8.870, "n_ef_per_ev_cell": 9.91, "dft_energy_ev_per_atom": -4.32, "total_magnetization_mub_per_cell": 0.00, "cell": [[4.601, -6.867, 0.000], [4.601, 6.867, 0.000], [-0.698, 0.000, 8.721]], "species": ["Ac", "Ac", "Ac", "Ac", "Ac", "Ac", "Tm", "Tm", "Pb", "Pb", "Pb", "Pb", "Pb", "Pb"], "fractional_positions": [[0.163, 0.837, 0.000], [0.236, 0.764, 0.500], [0.394, 0.394, 0.163], [0.606, 0.606, 0.837], [0.764, 0.236, 0.500], [0.837, 0.163, 0.000], [0.241, 0.241, 0.596], [0.759, 0.759, 0.404], [0.068, 0.068, 0.291], [0.135, 0.482, 0.794], [0.482, 0.135, 0.794], [0.518, 0.865, 0.206], [0.865, 0.518, 0.206], [0.932, 0.932, 0.709]]}